{"formula": "TmMgAsO", "functional": "PBE", "state": "optimized geometry", "magnetic_moment_mub_per_atom": 0.000, "vol_a3_per_atom": 19.0, "final_energy_ev_per_atom": -5.80, "sg": "No. 26", "lattice": [[3.829, 0.000, 0.000], [0.000, 6.063, 0.000], [0.000, 0.000, 6.549]], "species": ["Tm", "Tm", "Mg", "Mg", "As", "As", "O", "O"], "fractional_positions": [[0.000, 0.037, 0.000], [0.000, 0.963, 0.500], [0.500, 0.364, 0.327], [0.500, 0.636, 0.827], [0.500, 0.224, 0.728], [0.500, 0.776, 0.228], [0.000, 0.244, 0.273], [0.000, 0.756, 0.773]]}